Entry from the Alexandria database: an optimized crystal structure of NiAs (PBE).

Results
The calculation puts the calculated density at 6.31 g cm⁻³. Its total energy is -5.244 eV/atom. The calculation puts the total moment at 0.00 Bohr magnetons per cell. Its space-group type is Fddd, No. 70.

Cell: 6.5928 6.5356 5.0544 Å, 67.96 66.76 45.28°
With the nearest neighbours (Å) after each atom.
Element x y z (fractional)
Ni: 0.0089 0.0089 0.2411  4 As 2.30-2.35, 3 Ni 2.53-2.56
Ni: 0.2411 0.2411 0.0089  4 As 2.30-2.35, 3 Ni 2.53-2.56
Ni: 0.7589 0.7589 0.9911  4 As 2.30-2.35, 3 Ni 2.53-2.56
Ni: 0.9911 0.9911 0.7589  4 As 2.30-2.35, 3 Ni 2.53-2.56
As: 0.1469 0.6031 0.1469  4 Ni 2.30-2.35
As: 0.3969 0.8531 0.3969  4 Ni 2.30-2.35
As: 0.6031 0.1469 0.6031  4 Ni 2.30-2.35
As: 0.8531 0.3969 0.8531  4 Ni 2.30-2.35



Entry from the Alexandria database: an optimized crystal structure of DyRhAu (PBE).

Results
The calculation puts the calculated density at 13.23 g cm⁻³. Its total energy is -5.764 eV/atom. The calculation puts the total moment at 0.00 Bohr magnetons per cell. Its energy above the lowest structure with this stoichiometry is 0 meV/atom. Its space-group type is Cmcm, No. 63.

Cell: 4.8305 4.8305 5.6620 Å, 90.00 90.00 118.55°
With the nearest neighbours (Å) after each atom.
Element x y z (fractional)
Dy: 0.1630 0.8370 0.7500  5 Rh 2.80-2.83, 2 Au 3.14
Dy: 0.8370 0.1630 0.2500  5 Rh 2.80-2.83, 2 Au 3.14
Rh: 0.1766 0.8234 0.2500  5 Dy 2.80-2.83, 2 Au 3.04
Rh: 0.8234 0.1766 0.7500  5 Dy 2.80-2.83, 2 Au 3.04
Au: 0.5000 0.5000 0.0000  2 Au 2.83, 2 Rh 3.04, 6 Dy 3.14-3.15
Au: 0.5000 0.5000 0.5000  2 Au 2.83, 2 Rh 3.04, 6 Dy 3.14-3.15